Density functional theory data (GGA-PBE) for TbThIn2 after structural relaxation.

The structure in POSCAR format:
```
TbThIn2
1.0
4.978 0.000 0.000
0.000 4.978 0.000
0.000 0.000 4.516
Tb Th In
1 1 2
Direct
0.000 0.000 0.000 Tb
0.500 0.500 0.000 Th
0.000 0.500 0.500 In
0.500 0.000 0.500 In
```

Properties
crystal system	tetragonal
ρ	9.21	g/cm3
symmetry	No. 123
electronic total energy	-4.73	eV/atom
calculated volume	27.97	Å³ per atom
DFT formation energy	-349	meV/atom

***

Density functional theory data (GGA-PBE) for K2LaAu2 after structural relaxation.

The structure in POSCAR format:
```
K2LaAu2
1.0
-2.830 2.830 5.069
2.830 -2.830 5.069
2.830 2.830 -5.069
K La Au
2 1 2
Direct
0.140 0.140 0.000 K
0.860 0.860 0.000 K
0.500 0.500 0.000 La
0.250 0.750 0.500 Au
0.750 0.250 0.500 Au
```

Properties
crystal system	tetragonal
relative energy among the computed polymorphs	374	meV per atom
ρ	6.25	g/cm3
symmetry	No. 139
electronic total energy	-2.60	eV/atom
calculated volume	32.47	Å³ per atom
DFT formation energy	135	meV/atom

***

Density functional theory data (GGA-PBE) for YOsRu2 after structural relaxation.

The structure in POSCAR format:
```
YOsRu2
1.0
-3.700 3.700 2.799
3.700 -3.700 2.799
3.700 3.700 -2.799
Y Os Ru
2 2 4
Direct
0.000 0.000 0.000 Y
0.750 0.250 0.500 Y
0.250 0.750 0.500 Os
0.500 0.500 0.000 Os
0.183 0.625 0.058 Ru
0.375 0.433 0.558 Ru
0.567 0.125 0.942 Ru
0.875 0.817 0.442 Ru
```

Properties
crystal system	tetragonal
relative energy among the computed polymorphs	253	meV per atom
ρ	10.43	g/cm3
symmetry	No. 122
electronic total energy	-8.65	eV/atom
calculated volume	19.15	Å³ per atom
DFT formation energy	413	meV/atom

***

Density functional theory data (GGA-PBE) for LiCeSeO5 after structural relaxation.

The structure in POSCAR format:
```
LiCeSeO5
1.0
4.242 -4.378 0.000
4.242 4.378 0.000
-3.856 0.000 7.082
Li Ce Se O
2 2 2 10
Direct
0.188 0.812 0.750 Li
0.812 0.188 0.250 Li
0.500 0.500 0.000 Ce
0.500 0.500 0.500 Ce
0.126 0.874 0.250 Se
0.874 0.126 0.750 Se
0.173 0.183 0.339 O
0.183 0.173 0.839 O
0.238 0.759 0.068 O
0.241 0.762 0.432 O
0.410 0.590 0.750 O
0.590 0.410 0.250 O
0.759 0.238 0.568 O
0.762 0.241 0.932 O
0.817 0.827 0.161 O
0.827 0.817 0.661 O
```

Properties
crystal system	monoclinic
ρ	3.86	g/cm3
symmetry	No. 15
electronic total energy	-6.35	eV/atom
calculated volume	16.44	Å³ per atom

***

Density functional theory data (GGA-PBE) for MnTl2InSe5 after structural relaxation.

The structure in POSCAR format:
```
MnTl2InSe5
1.0
1.958 -9.218 0.000
1.958 9.218 0.000
0.000 0.000 13.875
Mn Tl In Se
2 4 2 10
Direct
0.234 0.766 0.500 Mn
0.766 0.234 0.000 Mn
0.104 0.896 0.121 Tl
0.122 0.878 0.769 Tl
0.878 0.122 0.269 Tl
0.896 0.104 0.621 Tl
0.420 0.580 0.899 In
0.580 0.420 0.399 In
0.086 0.914 0.523 Se
0.264 0.736 0.117 Se
0.277 0.723 0.880 Se
0.362 0.638 0.469 Se
0.487 0.513 0.738 Se
0.513 0.487 0.238 Se
0.638 0.362 0.969 Se
0.723 0.277 0.380 Se
0.736 0.264 0.617 Se
0.914 0.086 0.023 Se
```

Properties
crystal system	orthorhombic
ρ	6.45	g/cm3
symmetry	No. 36
electronic total energy	-4.14	eV/atom
calculated volume	27.83	Å³ per atom

***

Density functional theory data (GGA-PBE) for CaCuTc2O8 after structural relaxation.

The structure in POSCAR format:
```
CaCuTc2O8
1.0
5.802 0.000 0.000
-2.901 5.025 0.000
0.000 0.000 6.328
Ca Cu Tc O
1 1 2 8
Direct
0.000 0.000 0.000 Ca
0.000 0.000 0.500 Cu
0.333 0.667 0.209 Tc
0.667 0.333 0.791 Tc
0.162 0.324 0.285 O
0.162 0.838 0.285 O
0.324 0.162 0.715 O
0.333 0.667 0.933 O
0.667 0.333 0.067 O
0.676 0.838 0.285 O
0.838 0.162 0.715 O
0.838 0.676 0.715 O
```

Properties
crystal system	trigonal
ρ	3.85	g/cm3
symmetry	No. 164
electronic total energy	-7.05	eV/atom
calculated volume	15.37	Å³ per atom

***

Density functional theory data (GGA-PBE) for Sr2AlIn after structural relaxation.

The structure in POSCAR format:
```
Sr2AlIn
1.0
-4.477 4.477 3.666
4.477 -4.477 3.666
4.477 4.477 -3.666
Sr Al In
4 2 2
Direct
0.116 0.625 0.991 Sr
0.375 0.366 0.491 Sr
0.634 0.125 0.009 Sr
0.875 0.884 0.509 Sr
0.000 0.000 0.000 Al
0.750 0.250 0.500 Al
0.250 0.750 0.500 In
0.500 0.500 0.000 In
```

Properties
crystal system	tetragonal
relative energy among the computed polymorphs	405	meV per atom
ρ	3.58	g/cm3
symmetry	No. 122
electronic total energy	-2.34	eV/atom
calculated volume	36.74	Å³ per atom
DFT formation energy	119	meV/atom

***

Density functional theory data (GGA-PBE) for FeTcRh4 after structural relaxation.

The structure in POSCAR format:
```
FeTcRh4
1.0
6.911 0.000 0.000
0.000 4.727 0.000
-0.565 0.000 5.107
Fe Tc Rh
2 2 8
Direct
0.000 0.080 0.250 Fe
0.000 0.920 0.750 Fe
0.500 0.418 0.250 Tc
0.500 0.582 0.750 Tc
0.167 0.413 0.917 Rh
0.167 0.587 0.417 Rh
0.330 0.084 0.582 Rh
0.330 0.916 0.082 Rh
0.670 0.084 0.918 Rh
0.670 0.916 0.418 Rh
0.833 0.413 0.583 Rh
0.833 0.587 0.083 Rh
```

Properties
crystal system	monoclinic
relative energy among the computed polymorphs	4	meV per atom
ρ	11.26	g/cm3
symmetry	No. 13
electronic total energy	-8.09	eV/atom
calculated volume	13.90	Å³ per atom
DFT formation energy	-55	meV/atom